A PBEsol-optimized structure of BeTcPt2, computed with SCAN.

Properties
The calculation puts the energy of formation from the pure elements at -0.276 eV/atom.

Structure (CIF):
```
data_BeTcPt2
_chemical_formula_sum 'Be2 Tc2 Pt4'
_space_group_name_H-M_alt 'I 4/m m m'
_space_group_IT_number 139
_space_group_name_Hall '-I 4 2'
_cell_length_a 3.737
_cell_length_b 3.737
_cell_length_c 7.647
_cell_angle_alpha 90.00
_cell_angle_beta 90.00
_cell_angle_gamma 90.00
loop_
_atom_site_label
_atom_site_fract_x
_atom_site_fract_y
_atom_site_fract_z
_atom_site_occupancy
Be1 0.000 0.000 0.000 1
Tc1 0.000 0.000 0.500 1
Pt1 0.000 0.500 0.250 1
```